--- A ---
## TeAu2O (GGA-PBE)

Data for a relaxed TeAu2O crystal.

Results
space group: P4/nmm (129)

Lattice parameters (Å, degrees): 4.313 4.313 9.252 90.00 90.00 90.00
Atoms (fractional coordinates):
O 0.750 0.250 0.000
O 0.250 0.750 0.000
Te 0.250 0.250 0.693
Te 0.750 0.750 0.307
Au 0.750 0.250 0.500
Au 0.250 0.750 0.500
Au 0.250 0.250 0.048
Au 0.750 0.750 0.952

=====

--- B ---
## TeAu2O (GGA-PBE)

Data for a relaxed TeAu2O crystal.

Results
space group: Pmc2_1 (26)

Lattice parameters (Å, degrees): 4.084 7.114 5.781 90.00 90.00 90.00
Atoms (fractional coordinates):
O 0.500 0.712 0.660
O 0.500 0.288 0.160
Te 0.000 0.730 0.109
Te 0.000 0.270 0.609
Au 0.500 0.023 0.626
Au 0.000 0.309 0.097
Au 0.000 0.691 0.597
Au 0.500 0.977 0.126

=====

Energies in meV per atom, measured from the most stable structure: A 92; B 0.